(1)
YSc2Rh at its PBEsol-relaxed geometry. Source: Alexandria via LeMat-Bulk, functional SCAN.

a b c (Å): 3.391 4.974 5.909
angles (deg): 114.89 106.68 90.00
Element x y z (fractional)
Sc 0.204 0.204 0.408
Sc 0.796 0.796 0.592
Y 0.000 0.500 0.000
Rh 0.500 0.000 0.000

Computed properties:
* offset from the most stable computed form: 0 kJ/mol of formula units
* DFT total energy: -0.848 Ha/atom
* formation energy: -0.5609 eV/atom
* total magnetization: 0.018 μB/cell
* V: 21.45 Å³/atom


(2)
LiAg3S at its PBEsol-relaxed geometry. Source: Alexandria via LeMat-Bulk, functional SCAN.

a b c (Å): 4.424 4.424 4.424
angles (deg): 90.00 90.00 90.00
Element x y z (fractional)
Ag 0.500 0.000 0.000
Ag 0.000 0.500 0.000
Ag 0.000 0.000 0.500
S 0.500 0.500 0.500
Li 0.000 0.000 0.000

Computed properties:
* DFT total energy: -0.760 Ha/atom
* total magnetization: 0.000 μB/cell
* V: 17.32 Å³/atom


(3)
In2CoSb at its PBEsol-relaxed geometry. Source: Alexandria via LeMat-Bulk, functional SCAN.

a b c (Å): 3.096 4.112 7.030
angles (deg): 107.01 102.72 90.00
Element x y z (fractional)
In 0.320 0.320 0.640
In 0.680 0.680 0.360
Co 0.000 0.500 0.000
Sb 0.500 0.000 0.000

Computed properties:
* DFT total energy: -1.106 Ha/atom
* total magnetization: 0.009 μB/cell
* V: 20.82 Å³/atom


(4)
RbSb3Mo at its PBEsol-relaxed geometry. Source: Alexandria via LeMat-Bulk, functional SCAN.

a b c (Å): 5.685 5.685 5.685
angles (deg): 90.00 90.00 90.00
Element x y z (fractional)
Sb 0.000 0.000 0.500
Sb 0.500 0.000 0.000
Sb 0.000 0.500 0.000
Mo 0.500 0.500 0.500
Rb 0.000 0.000 0.000

Computed properties:
* offset from the most stable computed form: 971 kJ/mol of formula units
* DFT total energy: -1.150 Ha/atom
* total magnetization: 3.299 μB/cell
* V: 36.75 Å³/atom


(5)
SrZrTlTe2 at its PBEsol-relaxed geometry. Source: Alexandria via LeMat-Bulk, functional SCAN.

a b c (Å): 5.542 5.542 5.903
angles (deg): 90.00 90.00 90.00
Element x y z (fractional)
Te 0.000 0.500 0.000
Te 0.500 0.000 0.000
Tl 0.500 0.500 0.500
Sr 0.000 0.000 0.500
Zr 0.000 0.000 0.000

Computed properties:
* DFT total energy: -1.474 Ha/atom
* total magnetization: 0.000 μB/cell
* V: 36.26 Å³/atom


(6)
MnIrPb3 at its PBEsol-relaxed geometry. Source: Alexandria via LeMat-Bulk, functional SCAN.

a b c (Å): 5.229 5.229 5.229
angles (deg): 90.00 90.00 90.00
Element x y z (fractional)
Ir 0.000 0.000 0.000
Pb 0.500 0.000 0.000
Pb 0.000 0.500 0.000
Pb 0.000 0.000 0.500
Mn 0.500 0.500 0.500

Computed properties:
* offset from the most stable computed form: 0 kJ/mol of formula units
* DFT total energy: -2.308 Ha/atom
* formation energy: 0.5371 eV/atom
* total magnetization: 4.370 μB/cell
* V: 28.59 Å³/atom


(7)
TlInAs at its PBEsol-relaxed geometry. Source: Alexandria via LeMat-Bulk, functional SCAN.

a b c (Å): 4.925 4.925 4.925
angles (deg): 60.00 60.00 60.00
Element x y z (fractional)
As 0.000 0.000 0.000
In 0.500 0.500 0.500
Tl 0.750 0.750 0.750

Computed properties:
* DFT total energy: -1.530 Ha/atom
* formation energy: 0.3387 eV/atom
* total magnetization: 0.000 μB/cell
* V: 28.15 Å³/atom


(8)
BaTaNb2N at its PBEsol-relaxed geometry. Source: Alexandria via LeMat-Bulk, functional SCAN.

a b c (Å): 4.117 5.189 5.189
angles (deg): 90.00 90.00 90.00
Element x y z (fractional)
Ba 0.000 0.000 0.000
Nb 0.000 0.500 0.000
Nb 0.000 0.000 0.500
Ta 0.500 0.500 0.500
N 0.500 0.000 0.000

Computed properties:
* DFT total energy: -1.227 Ha/atom
* total magnetization: 0.000 μB/cell
* V: 22.17 Å³/atom


(9)
La2PO at its PBEsol-relaxed geometry. Source: Alexandria via LeMat-Bulk, functional SCAN.

a b c (Å): 4.785 4.785 4.785
angles (deg): 60.00 60.00 60.00
Element x y z (fractional)
O 0.000 0.000 0.000
La 0.250 0.250 0.250
La 0.750 0.750 0.750
P 0.500 0.500 0.500

Computed properties:
* DFT total energy: -1.013 Ha/atom
* total magnetization: 0.000 μB/cell
* V: 19.37 Å³/atom


(10)
CdCuCl at its PBEsol-relaxed geometry. Source: Alexandria via LeMat-Bulk, functional SCAN.

a b c (Å): 3.381 3.381 5.535
angles (deg): 90.00 90.00 120.00
Element x y z (fractional)
Cu 0.667 0.333 0.354
Cd 0.000 0.000 0.035
Cl 0.333 0.667 0.612

Computed properties:
* offset from the most stable computed form: 0 kJ/mol of formula units
* DFT total energy: -0.668 Ha/atom
* total magnetization: 0.000 μB/cell
* V: 18.27 Å³/atom


(11)
Tc2AgRu at its PBEsol-relaxed geometry. Source: Alexandria via LeMat-Bulk, functional SCAN.

a b c (Å): 2.719 4.356 4.802
angles (deg): 90.00 90.00 90.00
Element x y z (fractional)
Ru 0.500 0.500 0.202
Tc 0.000 0.500 0.729
Tc 0.000 0.000 0.035
Ag 0.500 0.000 0.534

Computed properties:
* offset from the most stable computed form: 3 kJ/mol of formula units
* DFT total energy: -1.240 Ha/atom
* formation energy: 0.3357 eV/atom
* total magnetization: 0.000 μB/cell
* V: 14.22 Å³/atom


(12)
MgTa2BeI at its PBEsol-relaxed geometry. Source: Alexandria via LeMat-Bulk, functional SCAN.

a b c (Å): 4.861 4.861 5.023
angles (deg): 90.00 90.00 90.00
Element x y z (fractional)
Mg 0.000 0.000 0.000
Ta 0.000 0.500 0.000
Ta 0.500 0.000 0.000
Be 0.500 0.500 0.500
I 0.000 0.000 0.500

Computed properties:
* DFT total energy: -1.225 Ha/atom
* total magnetization: 0.001 μB/cell
* V: 23.74 Å³/atom


Copy entry 3 word for word.
In2CoSb at its PBEsol-relaxed geometry. Source: Alexandria via LeMat-Bulk, functional SCAN.

a b c (Å): 3.096 4.112 7.030
angles (deg): 107.01 102.72 90.00
Element x y z (fractional)
In 0.320 0.320 0.640
In 0.680 0.680 0.360
Co 0.000 0.500 0.000
Sb 0.500 0.000 0.000

Computed properties:
* DFT total energy: -1.106 Ha/atom
* total magnetization: 0.009 μB/cell
* V: 20.82 Å³/atom


What is the formula in the fifth record?
SrZrTlTe2


Look up the DFT total energy of the first one.
-0.848 Ha/atom


total magnetization of number 5 (SrZrTlTe2)?
0.000 μB/cell